# Ca3CdHg4, optimized geometry, DFT PBE-GGA
# formation energy from the elements	-0.356	eV per atom
# energy relative to the lowest polymorph listed for this composition	0.091	eV/atom
data_Ca3CdHg4
_cell_length_a 3.701
_cell_length_b 9.182
_cell_length_c 13.473
_cell_angle_alpha 90.00
_cell_angle_beta 90.00
_cell_angle_gamma 90.00
_symmetry_space_group_name_H-M 'I m m m'
_symmetry_Int_Tables_number 71
_symmetry_space_group_name_Hall '-I 2 2'
loop_
_atom_site_label
_atom_site_fract_x
_atom_site_fract_y
_atom_site_fract_z
_atom_site_occupancy
Ca1 0.000 0.000 0.000 1
Ca2 0.000 0.500 0.208 1
Cd1 0.000 0.000 0.500 1
Hg1 0.000 0.270 0.375 1


# Ti2VHI, optimized geometry, DFT PBE-GGA
# calculated total energy	-5.78	eV/atom
data_Ti2VHI
_cell_length_a 4.377
_cell_length_b 4.377
_cell_length_c 3.625
_cell_angle_alpha 90.00
_cell_angle_beta 90.00
_cell_angle_gamma 90.00
_symmetry_space_group_name_H-M 'P 4/m m m'
_symmetry_Int_Tables_number 123
_symmetry_space_group_name_Hall '-P 4 2'
loop_
_atom_site_label
_atom_site_fract_x
_atom_site_fract_y
_atom_site_fract_z
_atom_site_occupancy
Ti1 0.000 0.500 0.000 1
V1 0.000 0.000 0.500 1
H1 0.000 0.000 0.000 1
I1 0.500 0.500 0.500 1


# NdAg2Se3, optimized geometry, DFT PBE-GGA
# energy relative to the elements, uncorrected	-0.628	eV per atom
data_NdAg2Se3
_cell_length_a 8.704
_cell_length_b 12.950
_cell_length_c 5.352
_cell_angle_alpha 90.00
_cell_angle_beta 90.00
_cell_angle_gamma 90.00
_symmetry_space_group_name_H-M 'C m c m'
_symmetry_Int_Tables_number 63
_symmetry_space_group_name_Hall '-C 2c 2'
loop_
_atom_site_label
_atom_site_fract_x
_atom_site_fract_y
_atom_site_fract_z
_atom_site_occupancy
Nd1 0.000 0.234 0.250 1
Ag1 0.208 0.500 0.000 1
Se1 0.000 0.370 0.750 1
Se2 0.192 0.164 0.750 1


Asked for calculated volume across the records above, the calculation gives 457.9 69.4 603.3 Å³ per cell in order.
Asked for spin magnetization across the records above, the calculation gives 0.000 0.010 0.000 μB per cell in order.